#i
Entry from the Alexandria database: a geometry-optimized TiZnCuIr structure (PBE).

a b c (Å): 4.5982 4.5982 4.5982
angles (deg): 129.64 129.64 73.99
Fractional positions:
1 Ti 0.0000 0.0000 0.0000
2 Zn 0.5000 0.5000 0.0000
3 Cu 0.2500 0.7500 0.5000
4 Ir 0.7500 0.2500 0.5000

Values from the calculation:
* V: 14.06 Å³/atom


#ii
Entry from the Alexandria database: a geometry-optimized TiZnCuIr structure (PBE).

a b c (Å): 4.3139 4.3139 4.3139
angles (deg): 60.00 60.00 60.00
Fractional positions:
1 Ti 0.0000 0.0000 0.0000
2 Zn 0.5000 0.5000 0.5000
3 Cu 0.2500 0.2500 0.2500
4 Ir 0.7500 0.7500 0.7500

Values from the calculation:
* V: 14.19 Å³/atom


Among the structures shown above, #i is the most stable, with the second-best lying 15 meV per atom higher.